# 1
PBE TaBeNi2, relaxed; calculated volume = 12.36 Å³ per atom; energy = -0.2482 hartree per atom; symmetry = R-3m (166); magnetization = 0.0 μB/f.u.; calculated formation energy = 0.031 eV per atom
1.0
1.370 0.791 7.607
-1.370 0.791 7.607
0.000 -1.582 7.607
Ta Be Ni
1 1 2
direct
0.000 0.000 0.000
0.500 0.500 0.500
0.237 0.237 0.237
0.763 0.763 0.763


# 2
PBE TiTlTeBr2, relaxed; calculated volume = 30.39 Å³ per atom; energy = -0.1492 hartree per atom; symmetry = P4/mmm (123); magnetization = 1.0 μB/f.u.; uncorrected formation energy = -0.71 eV/atom
1.0
5.238 0.000 0.000
0.000 5.238 0.000
0.000 0.000 5.539
Ti Tl Te Br
1 1 1 2
direct
0.000 0.000 0.000
0.500 0.500 0.500
0.000 0.000 0.500
0.000 0.500 0.000
0.500 0.000 0.000